(1)
The following is a DFT calculation (SCAN) of a PBEsol-optimized structure of InHg4As. Values from VASP.

## Properties
- E_form: 0.36 eV/atom
- DFT total energy: -54.014 eV/atom
- Space-group type: F-43m, No. 216

Structure (Quantum ESPRESSO input):
```
&SYSTEM
  ibrav = 0, nat = 6, ntyp = 3
/
ATOMIC_SPECIES
In 114.82 In.upf
Hg 200.59 Hg.upf
As 74.92 As.upf
ATOMIC_POSITIONS crystal
In 0.750 0.750 0.750
Hg 0.375 0.375 0.875
Hg 0.375 0.875 0.375
Hg 0.375 0.375 0.375
Hg 0.875 0.375 0.375
As 0.000 0.000 0.000
CELL_PARAMETERS angstrom
-3.438 -4.178 2.294
-0.182 -5.334 -2.460
2.405 -4.594 2.765
```

***

(2)
The following is a DFT calculation (SCAN) of a PBEsol-optimized structure of ZrCo2SnS. Values from VASP.

## Properties
- Uncorrected formation energy: 1.38 eV/atom
- DFT total energy: -20.793 eV/atom
- Space-group type: P4/mmm, No. 123

Structure (Quantum ESPRESSO input):
```
&SYSTEM
  ibrav = 0, nat = 5, ntyp = 4
/
ATOMIC_SPECIES
Sn 118.71 Sn.upf
Co 58.93 Co.upf
S 32.06 S.upf
Zr 91.22 Zr.upf
ATOMIC_POSITIONS crystal
Sn 0.000 0.000 0.500
Co 0.000 0.500 0.000
Co 0.500 0.000 0.000
S 0.500 0.500 0.500
Zr 0.000 0.000 0.000
CELL_PARAMETERS angstrom
4.412 0.000 0.000
0.000 4.412 0.000
0.000 0.000 5.644
```

***

(3)
The following is a DFT calculation (SCAN) of a PBEsol-optimized structure of ScNiW. Values from VASP.

## Properties
- E_form: 0.04 eV/atom
- DFT total energy: -33.329 eV/atom
- Space-group type: I4mm, No. 107

Structure (Quantum ESPRESSO input):
```
&SYSTEM
  ibrav = 0, nat = 3, ntyp = 3
/
ATOMIC_SPECIES
Sc 44.96 Sc.upf
W 183.84 W.upf
Ni 58.69 Ni.upf
ATOMIC_POSITIONS crystal
Sc 0.342 0.342 0.684
W 0.650 0.650 0.299
Ni 0.008 0.008 0.016
CELL_PARAMETERS angstrom
2.788 0.000 0.000
0.000 2.788 0.000
-1.394 -1.394 5.862
```

***

(4)
The following is a DFT calculation (SCAN) of a PBEsol-optimized structure of BaHgIr2. Values from VASP.

## Properties
- E_form: 0.13 eV/atom
- DFT total energy: -62.345 eV/atom
- Space-group type: Pm, No. 6

Structure (Quantum ESPRESSO input):
```
&SYSTEM
  ibrav = 0, nat = 4, ntyp = 3
/
ATOMIC_SPECIES
Hg 200.59 Hg.upf
Ba 137.33 Ba.upf
Ir 192.22 Ir.upf
ATOMIC_POSITIONS crystal
Hg 0.673 0.500 0.797
Ba 0.020 0.000 0.477
Ir 0.888 0.000 0.069
Ir 0.419 0.500 0.157
CELL_PARAMETERS angstrom
2.952 0.000 -0.041
0.000 4.054 0.000
-1.267 0.000 7.453
```

***

(5)
The following is a DFT calculation (SCAN) of a PBEsol-optimized structure of SbAsRu3. Values from VASP.

## Properties
- Uncorrected formation energy: 1.77 eV/atom
- DFT total energy: -30.614 eV/atom
- Space-group type: Pm-3m, No. 221

Structure (Quantum ESPRESSO input):
```
&SYSTEM
  ibrav = 0, nat = 5, ntyp = 3
/
ATOMIC_SPECIES
Sb 121.76 Sb.upf
As 74.92 As.upf
Ru 101.07 Ru.upf
ATOMIC_POSITIONS crystal
Sb 0.000 0.000 0.000
As 0.500 0.500 0.500
Ru 0.000 0.500 0.000
Ru 0.000 0.000 0.500
Ru 0.500 0.000 0.000
CELL_PARAMETERS angstrom
4.736 0.000 0.000
0.000 4.736 0.000
0.000 0.000 4.736
```

***

(6)
The following is a DFT calculation (SCAN) of a PBEsol-optimized structure of ScMoAu2. Values from VASP.

## Properties
- E_form: -0.30 eV/atom
- DFT total energy: -47.160 eV/atom
- Energy relative to the lowest polymorph listed for this composition: 0.000 eV per formula unit
- Space-group type: Cmmm, No. 65

Structure (Quantum ESPRESSO input):
```
&SYSTEM
  ibrav = 0, nat = 4, ntyp = 3
/
ATOMIC_SPECIES
Sc 44.96 Sc.upf
Au 196.97 Au.upf
Mo 95.94 Mo.upf
ATOMIC_POSITIONS crystal
Sc 0.500 0.000 0.000
Au 0.000 0.000 0.500
Au 0.000 0.500 0.000
Mo 0.500 0.500 0.500
CELL_PARAMETERS angstrom
-1.888 -2.217 -0.074
1.258 -0.914 -4.707
2.912 -2.582 3.072
```

***

(7)
The following is a DFT calculation (SCAN) of a PBEsol-optimized structure of ZrZn2As. Values from VASP.

## Properties
- E_form: -0.39 eV/atom
- DFT total energy: -19.872 eV/atom
- Space-group type: P4mm, No. 99

Structure (Quantum ESPRESSO input):
```
&SYSTEM
  ibrav = 0, nat = 4, ntyp = 3
/
ATOMIC_SPECIES
Zr 91.22 Zr.upf
Zn 65.41 Zn.upf
As 74.92 As.upf
ATOMIC_POSITIONS crystal
Zr 0.000 0.000 0.526
Zn 0.500 0.500 0.220
Zn 0.000 0.000 0.029
As 0.500 0.500 0.725
CELL_PARAMETERS angstrom
3.508 0.000 0.000
0.000 3.508 0.000
0.000 0.000 5.598
```

***

(8)
The following is a DFT calculation (SCAN) of a PBEsol-optimized structure of AlInPb2. Values from VASP.

## Properties
- E_form: 0.21 eV/atom
- DFT total energy: -47.960 eV/atom
- Space-group type: Fm-3m, No. 225

Structure (Quantum ESPRESSO input):
```
&SYSTEM
  ibrav = 0, nat = 4, ntyp = 3
/
ATOMIC_SPECIES
Pb 207.20 Pb.upf
Al 26.98 Al.upf
In 114.82 In.upf
ATOMIC_POSITIONS crystal
Pb 0.250 0.250 0.250
Pb 0.750 0.750 0.750
Al 0.000 0.000 0.000
In 0.500 0.500 0.500
CELL_PARAMETERS angstrom
5.272 0.000 0.000
2.636 4.565 0.000
2.636 1.522 4.304
```

***

(9)
The following is a DFT calculation (SCAN) of a PBEsol-optimized structure of Li2AlZn2. Values from VASP.

## Properties
- E_form: 0.05 eV/atom
- DFT total energy: -7.863 eV/atom
- Energy relative to the lowest polymorph listed for this composition: 0.922 eV per formula unit
- Space-group type: I4/mmm, No. 139

Structure (Quantum ESPRESSO input):
```
&SYSTEM
  ibrav = 0, nat = 5, ntyp = 3
/
ATOMIC_SPECIES
Zn 65.41 Zn.upf
Li 6.94 Li.upf
Al 26.98 Al.upf
ATOMIC_POSITIONS crystal
Zn 0.402 0.402 0.804
Zn 0.598 0.598 0.196
Li 0.250 0.750 0.500
Li 0.750 0.250 0.500
Al 0.000 0.000 0.000
CELL_PARAMETERS angstrom
3.480 0.000 0.000
0.000 3.480 0.000
-1.740 -1.740 6.540
```

***

(10)
The following is a DFT calculation (SCAN) of a PBEsol-optimized structure of KLi3P. Values from VASP.

## Properties
- E_form: -0.40 eV/atom
- DFT total energy: -5.575 eV/atom
- Space-group type: Pm-3m, No. 221

Structure (Quantum ESPRESSO input):
```
&SYSTEM
  ibrav = 0, nat = 5, ntyp = 3
/
ATOMIC_SPECIES
K 39.10 K.upf
P 30.97 P.upf
Li 6.94 Li.upf
ATOMIC_POSITIONS crystal
K 0.500 0.500 0.500
P 0.000 0.000 0.000
Li 0.000 0.000 0.500
Li 0.000 0.500 0.000
Li 0.500 0.000 0.000
CELL_PARAMETERS angstrom
4.853 0.000 0.000
0.000 4.853 0.000
0.000 0.000 4.853
```

***

(11)
The following is a DFT calculation (SCAN) of a PBEsol-optimized structure of AlMoW2. Values from VASP.

## Properties
- E_form: -0.03 eV/atom
- DFT total energy: -45.533 eV/atom
- Space-group type: Imm2, No. 44

Structure (Quantum ESPRESSO input):
```
&SYSTEM
  ibrav = 0, nat = 4, ntyp = 3
/
ATOMIC_SPECIES
W 183.84 W.upf
Al 26.98 Al.upf
Mo 95.94 Mo.upf
ATOMIC_POSITIONS crystal
W 0.001 0.001 0.002
W 0.259 0.759 0.518
Al 0.499 0.499 0.998
Mo 0.741 0.241 0.483
CELL_PARAMETERS angstrom
3.161 0.000 0.000
0.000 4.405 0.000
-1.580 -2.203 4.383
```

***

(12)
The following is a DFT calculation (SCAN) of a PBEsol-optimized structure of Sb2RuPt. Values from VASP.

## Properties
- Uncorrected formation energy: 0.00 eV/atom
- DFT total energy: -44.885 eV/atom
- Energy relative to the lowest polymorph listed for this composition: 0.000 eV per formula unit
- Space-group type: R-3m, No. 166

Structure (Quantum ESPRESSO input):
```
&SYSTEM
  ibrav = 0, nat = 4, ntyp = 3
/
ATOMIC_SPECIES
Ru 101.07 Ru.upf
Sb 121.76 Sb.upf
Pt 195.08 Pt.upf
ATOMIC_POSITIONS crystal
Ru 0.000 0.000 0.000
Sb 0.748 0.748 0.755
Sb 0.252 0.252 0.245
Pt 0.500 0.500 0.500
CELL_PARAMETERS angstrom
3.290 0.000 0.000
1.645 2.850 0.000
1.645 0.950 7.862
```

***

Question: Which of these has the highest DFT total energy?
Answer: KLi3P

***

Question: Which of these has the lowest DFT total energy?
Answer: BaHgIr2